Entry 1:
{
  "formula": "NdEr2Cu4Sn2Ge2",
  "functional": "GGA-PBE",
  "state": "optimized geometry",
  "cell": [[-2.1452, 3.5263, 7.1613], [2.1452, -3.5263, 7.1613], [2.1452, 3.5263, -7.1613]],
  "species": ["Nd", "Er", "Er", "Cu", "Cu", "Cu", "Cu", "Sn", "Sn", "Ge", "Ge"],
  "frac_coords": [[0.0000, 0.0000, 0.0000], [0.3650, 0.8650, 0.5000], [0.6350, 0.1350, 0.5000], [0.0102, 0.3223, 0.6880], [0.3657, 0.6777, 0.6880], [0.6343, 0.3223, 0.3120], [0.9898, 0.6777, 0.3120], [0.3033, 0.5000, 0.8033], [0.6967, 0.5000, 0.1967], [0.2189, 0.2189, 0.0000], [0.7811, 0.7811, 0.0000]],
  "space_group": "Immm, No. 71",
  "de_polymorph_ev_per_atom": 0.072
}

=====

Entry 2:
{
  "formula": "NdEr2Cu4Sn2Ge2",
  "functional": "GGA-PBE",
  "state": "optimized geometry",
  "cell": [[-2.1727, 3.3872, 7.2627], [2.1727, -3.3872, 7.2627], [2.1727, 3.3872, -7.2627]],
  "species": ["Nd", "Er", "Er", "Cu", "Cu", "Cu", "Cu", "Sn", "Sn", "Ge", "Ge"],
  "frac_coords": [[0.0000, 0.0000, 0.0000], [0.3754, 0.8754, 0.5000], [0.6246, 0.1246, 0.5000], [0.0301, 0.3407, 0.6894], [0.3487, 0.6593, 0.6894], [0.6513, 0.3407, 0.3106], [0.9699, 0.6593, 0.3106], [0.2203, 0.2203, 0.0000], [0.7797, 0.7797, 0.0000], [0.3138, 0.5000, 0.8138], [0.6862, 0.5000, 0.1862]],
  "space_group": "Immm, No. 71",
  "de_polymorph_ev_per_atom": 0.000
}

=====

Entry 3:
{
  "formula": "ErCuNiGe2",
  "functional": "GGA-PBE",
  "state": "optimized geometry",
  "cell": [[-2.0147, 2.0147, 5.0234], [2.0147, -2.0147, 5.0234], [2.0147, 2.0147, -5.0234]],
  "species": ["Er", "Cu", "Ni", "Ge", "Ge"],
  "frac_coords": [[0.0000, 0.0000, 0.0000], [0.2500, 0.7500, 0.5000], [0.7500, 0.2500, 0.5000], [0.3774, 0.3774, 0.0000], [0.6226, 0.6226, 0.0000]],
  "space_group": "I-4m2, No. 119"
}

=====

no.,uncorrected energy (eV for the cell shown)
1,-51.65
2,-52.43
3,-25.97